No. 1
{
  "formula": "Tc2OsRh8",
  "functional": "PBE",
  "state": "relaxed",
  "delta_e_f_mev_per_atom": 529.6,
  "magnetic_moment_mub_per_cell": 0.0,
  "energy_ha_per_atom": -0.2838,
  "density_g_cm3": 11.0,
  "lattice_angstrom": [[-3.9850, 1.4111, 1.5323], [-3.3900, -0.2516, -5.5771], [-3.0973, -5.7452, 0.2433]],
  "species": ["Rh", "Rh", "Rh", "Rh", "Rh", "Rh", "Rh", "Rh", "Os", "Tc", "Tc"],
  "frac_coords": [[0.7795, 0.1861, 0.6506], [0.9099, 0.2501, 0.2501], [0.0901, 0.7499, 0.7499], [0.7795, 0.6506, 0.1861], [0.6588, 0.6013, 0.6013], [0.2205, 0.8139, 0.3494], [0.3412, 0.3987, 0.3987], [0.2205, 0.3494, 0.8139], [0.0000, 0.0000, 0.0000], [0.4616, 0.1425, 0.1425], [0.5384, 0.8575, 0.8575]]
}

No. 2
{
  "formula": "CaZnF",
  "functional": "PBE",
  "state": "relaxed",
  "magnetic_moment_mub_per_cell": 0.0,
  "energy_ha_per_atom": -0.1343,
  "density_g_cm3": 3.6,
  "lattice_angstrom": [[4.1084, 0.0000, 0.0000], [2.0542, 3.5580, 0.0000], [2.0542, 1.1860, 7.8550]],
  "species": ["F", "F", "Ca", "Ca", "Zn", "Zn"],
  "frac_coords": [[0.3015, 0.3015, 0.0956], [0.6985, 0.6985, 0.9044], [0.4002, 0.4002, 0.7993], [0.5998, 0.5998, 0.2007], [0.8410, 0.8410, 0.4771], [0.1590, 0.1590, 0.5229]]
}

No. 3
{
  "formula": "TcSb2AuSe",
  "functional": "PBE",
  "state": "relaxed",
  "magnetic_moment_mub_per_cell": 1.4,
  "energy_ha_per_atom": -0.1481,
  "density_g_cm3": 7.6,
  "lattice_angstrom": [[5.4315, 0.0000, 0.0000], [0.0000, 4.5873, 0.0000], [0.0000, 0.0000, 5.4315]],
  "species": ["Sb", "Sb", "Au", "Se", "Tc"],
  "frac_coords": [[0.0000, 0.0000, 0.5000], [0.5000, 0.0000, 0.0000], [0.5000, 0.5000, 0.5000], [0.0000, 0.0000, 0.0000], [0.0000, 0.5000, 0.0000]]
}

No. 4
{
  "formula": "MnGa2Sn2Pd5",
  "functional": "PBE",
  "state": "relaxed",
  "delta_e_f_mev_per_atom": -348.0,
  "magnetic_moment_mub_per_cell": 8.8,
  "energy_ha_per_atom": -0.1936,
  "density_g_cm3": 9.2,
  "lattice_angstrom": [[-3.3374, -0.1367, -0.7517], [-1.9649, -3.2780, 9.3199], [-1.0918, 9.5163, 3.1169]],
  "species": ["Pd", "Pd", "Pd", "Pd", "Pd", "Pd", "Pd", "Pd", "Pd", "Pd", "Sn", "Sn", "Sn", "Sn", "Ga", "Ga", "Ga", "Ga", "Mn", "Mn"],
  "frac_coords": [[0.5000, 0.4885, 0.2918], [0.5000, 0.0115, 0.7918], [0.5000, 0.7918, 0.9885], [0.5000, 0.5115, 0.7082], [0.5000, 0.5000, 0.0000], [0.5000, 0.0000, 0.5000], [0.5000, 0.7082, 0.4885], [0.5000, 0.2082, 0.0115], [0.5000, 0.9885, 0.2082], [0.5000, 0.2918, 0.5115], [0.0000, 0.8283, 0.6717], [0.0000, 0.6717, 0.1717], [0.0000, 0.1717, 0.3283], [0.0000, 0.3283, 0.8283], [0.0000, 0.1397, 0.6397], [0.0000, 0.6397, 0.8603], [0.0000, 0.8603, 0.3603], [0.0000, 0.3603, 0.1397], [0.0000, 0.5000, 0.5000], [0.0000, 0.0000, 0.0000]]
}

No. 5
{
  "formula": "AsIr4",
  "functional": "PBE",
  "state": "relaxed",
  "delta_e_f_mev_per_atom": 233.2,
  "magnetic_moment_mub_per_cell": 0.0,
  "energy_ha_per_atom": -0.2861,
  "density_g_cm3": 18.7,
  "relative_energy_mev_per_atom": 0,
  "lattice_angstrom": [[-3.0276, 3.0276, 2.0412], [3.0276, -3.0276, 2.0412], [3.0276, 3.0276, -2.0412]],
  "species": ["As", "Ir", "Ir", "Ir", "Ir"],
  "frac_coords": [[0.0000, 0.0000, 0.0000], [0.3884, 0.1869, 0.5753], [0.1869, 0.6116, 0.7985], [0.6116, 0.8131, 0.4247], [0.8131, 0.3884, 0.2015]]
}